(1)
Dy7Er4Mg: relaxed, PBE-GGA.

```
data_Dy7Er4Mg
_chemical_formula_sum 'Dy14 Er8 Mg2'
_symmetry_space_group_name_H-M 'C 1 2/m 1'
_symmetry_Int_Tables_number 12
_cell_length_a 22.084
_cell_length_b 5.538
_cell_length_c 6.316
_cell_angle_alpha 90.00
_cell_angle_beta 102.31
_cell_angle_gamma 90.00
loop_
_symmetry_equiv_pos_as_xyz
'x,y,z'
'-x,-y,-z'
'-x,y,-z'
'x,-y,z'
'x+1/2,y+1/2,z'
'-x+1/2,-y+1/2,-z'
'-x+1/2,y+1/2,-z'
'x+1/2,-y+1/2,z'
loop_
_atom_site_label
_atom_site_type_symbol
_atom_site_fract_x
_atom_site_fract_y
_atom_site_fract_z
Dy1 Dy 0.000 0.000 0.000
Dy2 Dy 0.046 0.500 0.300
Dy3 Dy 0.135 0.000 0.493
Dy4 Dy 0.210 0.000 0.062
Er1 Er 0.117 0.500 0.840
Er2 Er 0.208 0.500 0.389
Mg1 Mg 0.000 0.000 0.500
```

Summary:
ΔH_f (0 K) = 0.12 eV per atom

(2)
CeGeBi: relaxed, PBE-GGA.

```
data_CeGeBi
_chemical_formula_sum 'Ce4 Ge4 Bi4'
_symmetry_space_group_name_H-M 'C 1 2/m 1'
_symmetry_Int_Tables_number 12
_cell_length_a 11.631
_cell_length_b 4.111
_cell_length_c 7.603
_cell_angle_alpha 90.00
_cell_angle_beta 111.19
_cell_angle_gamma 90.00
loop_
_symmetry_equiv_pos_as_xyz
'x,y,z'
'-x,-y,-z'
'-x,y,-z'
'x,-y,z'
'x+1/2,y+1/2,z'
'-x+1/2,-y+1/2,-z'
'-x+1/2,y+1/2,-z'
'x+1/2,-y+1/2,z'
loop_
_atom_site_label
_atom_site_type_symbol
_atom_site_fract_x
_atom_site_fract_y
_atom_site_fract_z
Ce1 Ce 0.172 0.000 0.236
Ge1 Ge 0.115 0.000 0.600
Bi1 Bi 0.069 0.500 0.842
```

Summary:
ΔH_f (0 K) = -0.36 eV per atom

(3)
ZrPRuCl2: relaxed, PBE-GGA.

```
data_ZrPRuCl2
_chemical_formula_sum 'Zr1 P1 Ru1 Cl2'
_symmetry_space_group_name_H-M 'P 4/m m m'
_symmetry_Int_Tables_number 123
_symmetry_space_group_name_Hall '-P 4 2'
_cell_length_a 4.906
_cell_length_b 4.906
_cell_length_c 5.216
_cell_angle_alpha 90.00
_cell_angle_beta 90.00
_cell_angle_gamma 90.00
loop_
_atom_site_label
_atom_site_type_symbol
_atom_site_fract_x
_atom_site_fract_y
_atom_site_fract_z
Zr1 Zr 0.000 0.000 0.000
P1 P 0.000 0.000 0.500
Ru1 Ru 0.500 0.500 0.500
Cl1 Cl 0.000 0.500 0.000
```

Summary:
formation energy without anion corrections = 1.4 eV/f.u.

| no. | density of states at the Fermi level (states/eV/f.u.) | energy above the lowest structure with this stoichiometry (meV/atom) |
| --- | --- | --- |
| 1 | 18.46 | 95 |
| 2 | 7.07 | 232 |
| 3 | 9.99 | 7 |